First-principles (SCAN) data for SiSeS2 at its PBEsol-relaxed geometry, as listed in Alexandria via LeMat-Bulk.

## Properties
Energy relative to the elements, uncorrected (meV/atom): 796.3
Volume (Å³ per atom): 16.031

a b c (Å): 4.493 4.493 4.493
angles (deg): 60.00 60.00 60.00
Sites, in units of the cell vectors:
Si: 0.000 0.000 0.000
Se: 0.500 0.500 0.500
S: 0.250 0.250 0.250
S: 0.750 0.750 0.750

First-principles (SCAN) data for SiSe2S at its PBEsol-relaxed geometry, as listed in Alexandria via LeMat-Bulk.

## Properties
Energy relative to the elements, uncorrected (meV/atom): 773.5
Volume (Å³ per atom): 20.411

a b c (Å): 8.566 8.566 8.566
angles (deg): 22.63 22.63 22.63
Sites, in units of the cell vectors:
Si: 0.000 0.000 0.000
Se: 0.098 0.098 0.098
Se: 0.902 0.902 0.902
S: 0.500 0.500 0.500

First-principles (SCAN) data for SnSeS2 at its PBEsol-relaxed geometry, as listed in Alexandria via LeMat-Bulk.

## Properties
Energy relative to the elements, uncorrected (meV/atom): 4.5
Volume (Å³ per atom): 24.369

a b c (Å): 8.105 8.105 8.105
angles (deg): 27.10 27.10 27.10
Sites, in units of the cell vectors:
Sn: 0.000 0.000 0.000
Se: 0.500 0.500 0.500
S: 0.399 0.399 0.399
S: 0.601 0.601 0.601

First-principles (SCAN) data for Sn2SeS at its PBEsol-relaxed geometry, as listed in Alexandria via LeMat-Bulk.

## Properties
Energy relative to the elements, uncorrected (meV/atom): -402.6
Volume (Å³ per atom): 24.581

a b c (Å): 4.057 4.319 11.222
angles (deg): 90.00 90.00 90.00
Sites, in units of the cell vectors:
Sn: 0.000 0.124 0.000
Sn: 0.000 0.876 0.500
Sn: 0.500 0.332 0.765
Sn: 0.500 0.668 0.265
Se: 0.000 0.229 0.244
Se: 0.000 0.771 0.744
S: 0.500 0.273 0.533
S: 0.500 0.727 0.033

First-principles (SCAN) data for Sn2SeS2 at its PBEsol-relaxed geometry, as listed in Alexandria via LeMat-Bulk.

## Properties
Energy relative to the elements, uncorrected (meV/atom): -389.6
Volume (Å³ per atom): 23.822

a b c (Å): 8.955 3.837 13.867
angles (deg): 90.00 90.00 90.00
Sites, in units of the cell vectors:
Sn: 0.018 0.250 0.178
Sn: 0.165 0.250 0.553
Sn: 0.335 0.750 0.053
Sn: 0.482 0.750 0.678
Sn: 0.518 0.250 0.322
Sn: 0.665 0.250 0.947
Sn: 0.835 0.750 0.447
Sn: 0.982 0.750 0.822
Se: 0.152 0.250 0.988
Se: 0.348 0.750 0.488
Se: 0.652 0.250 0.512
Se: 0.848 0.750 0.012
S: 0.015 0.250 0.392
S: 0.215 0.750 0.218
S: 0.285 0.250 0.718
S: 0.485 0.750 0.892
S: 0.515 0.250 0.108
S: 0.715 0.750 0.282
S: 0.785 0.250 0.782
S: 0.985 0.750 0.608

First-principles (SCAN) data for SrSe2S at its PBEsol-relaxed geometry, as listed in Alexandria via LeMat-Bulk.

## Properties
Energy relative to the elements, uncorrected (meV/atom): -656.8
Volume (Å³ per atom): 30.766

a b c (Å): 8.535 8.535 8.535
angles (deg): 140.82 140.82 56.61
Sites, in units of the cell vectors:
Sr: 0.000 0.000 0.000
Sr: 0.750 0.250 0.500
Se: 0.221 0.625 0.096
Se: 0.375 0.471 0.596
Se: 0.529 0.125 0.904
Se: 0.875 0.779 0.404
S: 0.250 0.750 0.500
S: 0.500 0.500 0.000

First-principles (SCAN) data for Sr4SeS3 at its PBEsol-relaxed geometry, as listed in Alexandria via LeMat-Bulk.

## Properties
Energy relative to the elements, uncorrected (meV/atom): -2414.6
Volume (Å³ per atom): 27.460

a b c (Å): 7.390 7.390 7.394
angles (deg): 99.62 99.62 33.54
Sites, in units of the cell vectors:
Sr: 0.126 0.126 0.381
Sr: 0.371 0.371 0.129
Sr: 0.629 0.629 0.871
Sr: 0.874 0.874 0.619
Se: 0.000 0.000 0.000
S: 0.251 0.251 0.749
S: 0.500 0.500 0.500
S: 0.749 0.749 0.251

First-principles (SCAN) data for Sr3SeS at its PBEsol-relaxed geometry, as listed in Alexandria via LeMat-Bulk.

## Properties
Energy relative to the elements, uncorrected (meV/atom): -1166.5
Volume (Å³ per atom): 34.745

a b c (Å): 5.580 5.580 5.580
angles (deg): 90.00 90.00 90.00
Sites, in units of the cell vectors:
Sr: 0.000 0.000 0.500
Sr: 0.000 0.500 0.000
Sr: 0.500 0.000 0.000
Se: 0.500 0.500 0.500
S: 0.000 0.000 0.000

First-principles (SCAN) data for Ta2SeS at its PBEsol-relaxed geometry, as listed in Alexandria via LeMat-Bulk.

## Properties
Energy relative to the elements, uncorrected (meV/atom): -65.7
Volume (Å³ per atom): 19.233

a b c (Å): 8.253 8.253 8.253
angles (deg): 148.40 148.40 45.30
Sites, in units of the cell vectors:
Ta: 0.092 0.625 0.967
Ta: 0.375 0.342 0.467
Ta: 0.658 0.125 0.033
Ta: 0.875 0.908 0.533
Se: 0.250 0.750 0.500
Se: 0.500 0.500 0.000
S: 0.000 0.000 0.000
S: 0.750 0.250 0.500

First-principles (SCAN) data for TaSeS at its PBEsol-relaxed geometry, as listed in Alexandria via LeMat-Bulk.

## Properties
Energy relative to the elements, uncorrected (meV/atom): -948.0
Volume (Å³ per atom): 20.037

a b c (Å): 3.373 3.373 6.101
angles (deg): 90.00 90.00 120.00
Sites, in units of the cell vectors:
Ta: 0.000 0.000 0.000
Se: 0.333 0.667 0.279
S: 0.667 0.333 0.753

First-principles (SCAN) data for TaTeSe2S at its PBEsol-relaxed geometry, as listed in Alexandria via LeMat-Bulk.

## Properties
Energy relative to the elements, uncorrected (meV/atom): 267.3
Volume (Å³ per atom): 25.676

a b c (Å): 4.792 4.792 5.591
angles (deg): 90.00 90.00 90.00
Sites, in units of the cell vectors:
Ta: 0.000 0.000 0.000
Te: 0.000 0.000 0.500
Se: 0.000 0.500 0.000
Se: 0.500 0.000 0.000
S: 0.500 0.500 0.500

First-principles (SCAN) data for Zr2TaSeS at its PBEsol-relaxed geometry, as listed in Alexandria via LeMat-Bulk.

## Properties
Energy relative to the elements, uncorrected (meV/atom): 454.1
Volume (Å³ per atom): 24.753

a b c (Å): 5.153 5.153 4.661
angles (deg): 90.00 90.00 90.00
Sites, in units of the cell vectors:
Zr: 0.000 0.500 0.000
Zr: 0.500 0.000 0.000
Ta: 0.000 0.000 0.000
Se: 0.000 0.000 0.500
S: 0.500 0.500 0.500

Per-record total magnetic moment, μB/f.u.: 0.0 0.0 0.0 0.0 0.0 0.0 0.0 0.0 0.0 0.0 0.4 0.0